No. 1
{"formula": "FeTc3Ir", "functional": "meta-GGA SCAN", "state": "single point on PBEsol structure", "cell": [[4.601, 0.000, 0.000], [0.000, 4.601, 0.000], [0.000, 0.000, 4.601]], "species": ["Tc", "Tc", "Tc", "Ir", "Fe"], "frac_coords": [[0.000, 0.500, 0.000], [0.500, 0.000, 0.000], [0.000, 0.000, 0.500], [0.000, 0.000, 0.000], [0.500, 0.500, 0.500]], "density_g_cm3": 9.24, "magnetic_moment_mub_per_cell": 5.3, "e_tot_ev_per_atom": -36.9681, "formation_enthalpy_0k_kj_per_mol_fu": 923.2, "crystal_system": "cubic"}

***

No. 2
{"formula": "K2ReCl6", "functional": "meta-GGA SCAN", "state": "single point on PBEsol structure", "cell": [[6.896, 0.000, 0.000], [3.448, 5.972, 0.000], [3.448, 1.991, 5.631]], "species": ["Cl", "Cl", "Cl", "Cl", "Cl", "Cl", "K", "K", "Re"], "frac_coords": [[0.241, 0.241, 0.759], [0.759, 0.241, 0.759], [0.759, 0.241, 0.241], [0.759, 0.759, 0.241], [0.241, 0.759, 0.241], [0.241, 0.759, 0.759], [0.250, 0.250, 0.250], [0.750, 0.750, 0.750], [0.000, 0.000, 0.000]], "density_g_cm3": 3.42, "magnetic_moment_mub_per_cell": 3.0, "e_tot_ev_per_atom": -16.5358, "crystal_system": "cubic"}

***

No. 3
{"formula": "BeCr2Ag", "functional": "meta-GGA SCAN", "state": "single point on PBEsol structure", "cell": [[2.531, 0.005, 0.000], [-0.853, 2.383, 0.000], [0.000, 0.000, 7.939]], "species": ["Cr", "Cr", "Be", "Ag"], "frac_coords": [[0.000, 0.000, 0.006], [0.500, 0.500, 0.778], [0.500, 0.500, 0.233], [0.000, 0.000, 0.483]], "density_g_cm3": 7.65, "magnetic_moment_mub_per_cell": 0.0, "e_tot_ev_per_atom": -17.8024, "formation_enthalpy_0k_kj_per_mol_fu": 123.5, "crystal_system": "orthorhombic"}

***

No. 4
{"formula": "NaMg4V3O12", "functional": "meta-GGA SCAN", "state": "single point on PBEsol structure", "cell": [[6.874, 0.000, 0.000], [0.000, 6.874, 0.000], [-3.437, -3.437, 9.614]], "species": ["O", "O", "O", "O", "O", "O", "O", "O", "O", "O", "O", "O", "O", "O", "O", "O", "O", "O", "O", "O", "O", "O", "O", "O", "V", "V", "V", "V", "V", "V", "Mg", "Mg", "Mg", "Mg", "Mg", "Mg", "Mg", "Mg", "Na", "Na"], "frac_coords": [[0.805, 0.619, 0.696], [0.258, 0.497, 0.408], [0.359, 0.131, 0.804], [0.682, 0.493, 0.382], [0.327, 0.641, 0.196], [0.089, 0.742, 0.592], [0.568, 0.860, 0.118], [0.503, 0.850, 0.592], [0.100, 0.253, 0.092], [0.700, 0.890, 0.382], [0.923, 0.195, 0.304], [0.747, 0.008, 0.908], [0.445, 0.673, 0.804], [0.992, 0.839, 0.092], [0.150, 0.911, 0.408], [0.891, 0.077, 0.696], [0.381, 0.109, 0.304], [0.869, 0.555, 0.196], [0.110, 0.318, 0.618], [0.161, 0.900, 0.908], [0.550, 0.257, 0.118], [0.140, 0.450, 0.882], [0.743, 0.432, 0.882], [0.507, 0.300, 0.618], [0.776, 0.375, 0.250], [0.625, 0.526, 0.750], [0.474, 0.875, 0.250], [0.000, 0.000, 0.000], [0.125, 0.224, 0.750], [0.250, 0.750, 0.500], [0.883, 0.875, 0.250], [0.775, 0.775, 0.549], [0.025, 0.525, 0.049], [0.625, 0.117, 0.750], [0.125, 0.633, 0.750], [0.367, 0.375, 0.250], [0.475, 0.975, 0.951], [0.225, 0.225, 0.451], [0.500, 0.500, 0.000], [0.750, 0.250, 0.500]], "density_g_cm3": 3.40, "magnetic_moment_mub_per_cell": 0.0, "e_tot_ev_per_atom": -10.3898, "crystal_system": "tetragonal"}